Entry 1:
Compound: Nd2TmPdO6
Source: Alexandria
Functional: GGA-PBE
Structure: optimized geometry

a b c (Å): 5.711 5.854 5.861
angles (deg): 118.89 118.00 90.04
Atoms (fractional coordinates):
Nd (0.000, 0.000, 0.000)
Nd (0.492, 0.509, 0.002)
Tm (0.724, 0.182, 0.461)
Pd (0.214, 0.661, 0.443)
O (0.085, 0.406, 0.539)
O (0.350, 0.878, 0.308)
O (0.428, 0.391, 0.309)
O (0.596, 0.888, 0.973)
O (0.846, 0.366, 0.936)
O (0.947, 0.883, 0.530)

Output
E_form (uncorrected): -249.86 kJ per mole of atoms

***

Entry 2:
Compound: Rb2Na3Cd2
Source: Alexandria
Functional: GGA-PBE
Structure: optimized geometry

a b c (Å): 7.270 7.270 9.098
angles (deg): 118.18 118.18 45.99
Atoms (fractional coordinates):
Rb (0.148, 0.148, 0.277)
Rb (0.852, 0.852, 0.723)
Na (0.352, 0.352, 0.063)
Na (0.500, 0.500, 0.500)
Na (0.648, 0.648, 0.937)
Cd (0.116, 0.116, 0.680)
Cd (0.884, 0.884, 0.320)

Output
total energy: -1.131 eV/atom

***

Entry 3:
Compound: Mg4NpAu5
Source: Alexandria
Functional: GGA-PBE
Structure: optimized geometry

a b c (Å): 3.308 3.308 17.351
angles (deg): 90.00 90.00 90.00
Atoms (fractional coordinates):
Mg (0.000, 0.000, 0.095)
Mg (0.000, 0.000, 0.283)
Mg (0.000, 0.000, 0.717)
Mg (0.000, 0.000, 0.905)
Np (0.000, 0.000, 0.500)
Au (0.500, 0.500, 0.000)
Au (0.500, 0.500, 0.189)
Au (0.500, 0.500, 0.377)
Au (0.500, 0.500, 0.623)
Au (0.500, 0.500, 0.811)

Output
total energy: -4.061 eV/atom

***

Listing magnetization for the structures above in their given order: 1.01 0.00 4.55 μB per formula unit.
Listing density for the structures above in their given order: 7.57 2.60 11.54 g/cm³.